1.
# PrGe4Pt6, optimized geometry, DFT PBE
data_PrGe4Pt6
_chemical_formula_sum 'Pr1 Ge4 Pt6'
_symmetry_space_group_name_H-M 'P 1'
_symmetry_Int_Tables_number 1
_symmetry_space_group_name_Hall 'P 1'
_cell_length_a 6.588
_cell_length_b 6.588
_cell_length_c 6.588
_cell_angle_alpha 94.22
_cell_angle_beta 117.59
_cell_angle_gamma 117.59
loop_
_atom_site_label
_atom_site_fract_x
_atom_site_fract_y
_atom_site_fract_z
_atom_site_occupancy
Pt1 0.500 0.500 0.000 1
Pt2 0.000 0.466 0.778 1
Pt3 0.312 0.534 0.534 1
Pt4 0.500 0.000 0.500 1
Pt5 0.688 0.222 0.222 1
Pt6 0.000 0.778 0.466 1
Ge1 0.591 0.456 0.456 1
Ge2 0.409 0.864 0.864 1
Ge3 0.000 0.544 0.136 1
Ge4 0.000 0.136 0.544 1
Pr1 0.000 0.000 0.000 1
# formation energy: -6.215 eV per formula unit
# space-group type: I-42m
# volume: 208.9 Å³ per cell

2.
# ScTl2Ni, optimized geometry, DFT PBE
data_ScTl2Ni
_chemical_formula_sum 'Sc1 Tl2 Ni1'
_symmetry_space_group_name_H-M 'P 1'
_symmetry_Int_Tables_number 1
_symmetry_space_group_name_Hall 'P 1'
_cell_length_a 4.481
_cell_length_b 3.429
_cell_length_c 5.662
_cell_angle_alpha 79.77
_cell_angle_beta 90.00
_cell_angle_gamma 90.00
loop_
_atom_site_label
_atom_site_fract_x
_atom_site_fract_y
_atom_site_fract_z
_atom_site_occupancy
Tl1 0.000 0.088 0.018 1
Tl2 0.000 0.412 0.482 1
Ni1 0.500 0.250 0.250 1
Sc1 0.500 0.750 0.750 1
# formation energy: 0.313 eV per formula unit
# space-group type: P2/m
# volume: 85.6 Å³ per cell

3.
# Tl2CdInSb2, optimized geometry, DFT PBE
data_Tl2CdInSb2
_chemical_formula_sum 'Tl4 Cd2 In2 Sb4'
_symmetry_space_group_name_H-M 'P 1'
_symmetry_Int_Tables_number 1
_symmetry_space_group_name_Hall 'P 1'
_cell_length_a 6.891
_cell_length_b 6.851
_cell_length_c 9.376
_cell_angle_alpha 111.43
_cell_angle_beta 111.56
_cell_angle_gamma 90.00
loop_
_atom_site_label
_atom_site_fract_x
_atom_site_fract_y
_atom_site_fract_z
_atom_site_occupancy
Cd1 0.500 0.750 0.000 1
Cd2 0.500 0.250 0.000 1
Sb1 0.141 0.886 0.773 1
Sb2 0.859 0.114 0.227 1
Sb3 0.369 0.614 0.227 1
Sb4 0.631 0.386 0.773 1
Tl1 0.927 0.679 0.357 1
Tl2 0.570 0.821 0.643 1
Tl3 0.430 0.179 0.357 1
Tl4 0.073 0.321 0.643 1
In1 0.000 0.250 0.000 1
In2 0.000 0.750 0.000 1
# space-group type: Ibam
# volume: 378.6 Å³ per cell
# energy relative to the elements, uncorrected: -22 meV per atom

4.
# Ce6InIr4, optimized geometry, DFT PBE
data_Ce6InIr4
_chemical_formula_sum 'Ce6 In1 Ir4'
_symmetry_space_group_name_H-M 'P 1'
_symmetry_Int_Tables_number 1
_symmetry_space_group_name_Hall 'P 1'
_cell_length_a 7.363
_cell_length_b 7.363
_cell_length_c 7.363
_cell_angle_alpha 91.14
_cell_angle_beta 119.35
_cell_angle_gamma 119.35
loop_
_atom_site_label
_atom_site_fract_x
_atom_site_fract_y
_atom_site_fract_z
_atom_site_occupancy
In1 0.000 0.000 0.000 1
Ce1 0.500 0.000 0.500 1
Ce2 0.500 0.500 0.000 1
Ce3 0.320 0.446 0.446 1
Ce4 0.680 0.126 0.126 1
Ce5 0.000 0.554 0.874 1
Ce6 0.000 0.874 0.554 1
Ir1 0.000 0.239 0.618 1
Ir2 0.621 0.382 0.382 1
Ir3 0.379 0.761 0.761 1
Ir4 0.000 0.618 0.239 1
# formation energy: -4.945 eV per formula unit
# space-group type: I-42m
# volume: 285.0 Å³ per cell